(1)
Entry from the Alexandria database: a relaxed structure of YTm6Pd2 (PBE).

Unit cell a=3.6375 b=8.1456 c=8.5783 alpha=79.43 beta=77.76 gamma=77.10
Sites, in units of the cell vectors:
Pd1 0.4031 0.4227 0.7711
Pd2 0.5969 0.5773 0.2289
Tm1 0.0329 0.1240 0.8102
Tm2 0.9671 0.8760 0.1898
Tm3 0.2872 0.3154 0.1101
Tm4 0.3057 0.8343 0.5544
Tm5 0.7128 0.6846 0.8899
Tm6 0.6943 0.1657 0.4456
Y1 0.0000 0.5000 0.5000

(2)
Entry from the Alexandria database: a relaxed structure of YTm2Pd9 (PBE).

Unit cell a=4.1089 b=4.1089 c=12.3174 alpha=90.00 beta=90.00 gamma=90.00
Sites, in units of the cell vectors:
Y1 0.0000 0.0000 0.0000
Tm1 0.0000 0.0000 0.6646
Tm2 0.0000 0.0000 0.3354
Pd1 0.5000 0.0000 0.8305
Pd2 0.0000 0.5000 0.8305
Pd3 0.5000 0.5000 0.3340
Pd4 0.5000 0.5000 0.0000
Pd5 0.5000 0.0000 0.5000
Pd6 0.0000 0.5000 0.1695
Pd7 0.5000 0.5000 0.6660
Pd8 0.0000 0.5000 0.5000
Pd9 0.5000 0.0000 0.1695

(3)
Entry from the Alexandria database: a relaxed structure of Y4TmPd2 (PBE).

Unit cell a=6.3897 b=7.9161 c=7.9189 alpha=110.02 beta=90.00 gamma=90.00
Sites, in units of the cell vectors:
Y1 0.2500 0.9451 0.9247
Y2 0.2500 0.5751 0.5542
Y3 0.0000 0.7002 0.2003
Y4 0.7500 0.4249 0.4458
Y5 0.5000 0.2998 0.7997
Y6 0.5000 0.7002 0.2003
Y7 0.7500 0.0549 0.0753
Y8 0.0000 0.2998 0.7997
Tm1 0.7500 0.8594 0.6407
Tm2 0.2500 0.1406 0.3593
Pd1 0.7500 0.0667 0.4329
Pd2 0.7500 0.6431 0.8572
Pd3 0.2500 0.3569 0.1428
Pd4 0.2500 0.9333 0.5671

ΔE to the lowest computed polymorph	0.0	meV/atom

(4)
Entry from the Alexandria database: a relaxed structure of YTmPd4 (PBE).

Unit cell a=3.6312 b=5.1849 c=7.1484 alpha=102.87 beta=75.29 gamma=69.50
Sites, in units of the cell vectors:
Pd1 0.1592 0.5085 0.1731
Pd2 0.3263 0.0082 0.3393
Pd3 0.6737 0.9918 0.6607
Pd4 0.8408 0.4915 0.8269
Y1 0.0000 0.0000 0.0000
Tm1 0.5000 0.5000 0.5000

ΔE to the lowest computed polymorph	18.4	meV/atom

(5)
Entry from the Alexandria database: a relaxed structure of YTmPd3 (PBE).

Unit cell a=5.5801 b=7.8243 c=9.8817 alpha=112.36 beta=90.00 gamma=90.00
Sites, in units of the cell vectors:
Y1 0.1280 0.2982 0.5073
Y2 0.6280 0.2018 0.9927
Y3 0.3720 0.7982 0.0073
Y4 0.8720 0.7018 0.4927
Pd1 0.1103 0.1002 0.9174
Pd2 0.6650 0.6186 0.1684
Pd3 0.1650 0.8814 0.3316
Pd4 0.7181 0.8311 0.7880
Pd5 0.8350 0.1186 0.6684
Pd6 0.3897 0.6002 0.4174
Pd7 0.3350 0.3814 0.8316
Pd8 0.6103 0.3998 0.5826
Pd9 0.7819 0.3311 0.2880
Pd10 0.2181 0.6689 0.7120
Pd11 0.2819 0.1689 0.2120
Pd12 0.8897 0.8998 0.0826
Tm1 0.6490 0.0207 0.3515
Tm2 0.1490 0.4793 0.1485
Tm3 0.3510 0.9793 0.6485
Tm4 0.8510 0.5207 0.8515

(6)
Entry from the Alexandria database: a relaxed structure of Y2Tm2ZnPd4 (PBE).

Unit cell a=6.4172 b=6.4172 c=6.4172 alpha=97.60 beta=115.71 gamma=115.71
Sites, in units of the cell vectors:
Pd1 0.4867 0.7434 0.7434
Pd2 0.0000 0.2566 0.7434
Pd3 0.0000 0.7434 0.2566
Pd4 0.5133 0.2566 0.2566
Tm1 0.5000 0.7500 0.2500
Tm2 0.5000 0.2500 0.7500
Zn1 0.0000 0.0000 0.0000
Y1 0.0000 0.3117 0.3117
Y2 0.0000 0.6883 0.6883

(7)
Entry from the Alexandria database: a relaxed structure of YbTmPd2 (PBE).

Unit cell a=4.9105 b=4.9105 c=4.9105 alpha=60.00 beta=60.00 gamma=60.00
Last column: magnetic moment on the atom in μB.
Sites, in units of the cell vectors:
Yb1 0.0000 0.0000 0.0000  0.23
Pd1 0.2500 0.2500 0.2500  0.00
Pd2 0.7500 0.7500 0.7500  0.00
Tm1 0.5000 0.5000 0.5000  0.00

(8)
Entry from the Alexandria database: a relaxed structure of TmZn4Pd7 (PBE).

Unit cell a=4.8132 b=7.8570 c=6.1700 alpha=79.09 beta=67.04 gamma=72.16
Sites, in units of the cell vectors:
Zn1 0.5703 0.2268 0.6326
Zn2 0.2898 0.3327 0.0876
Zn3 0.4297 0.7732 0.3674
Zn4 0.7102 0.6673 0.9124
Pd1 0.9348 0.3531 0.7773
Pd2 0.0652 0.6469 0.2227
Pd3 0.2202 0.1082 0.4515
Pd4 0.3442 0.5746 0.7370
Pd5 0.6558 0.4254 0.2630
Pd6 0.7798 0.8918 0.5485
Pd7 0.5000 0.0000 0.0000
Tm1 0.0000 0.0000 0.0000

(9)
Entry from the Alexandria database: a relaxed structure of Tm3Zn2Pd (PBE).

Unit cell a=4.9410 b=4.9410 c=6.0665 alpha=90.00 beta=90.00 gamma=120.00
Sites, in units of the cell vectors:
Tm1 0.3333 0.6667 0.1592
Tm2 0.0000 0.0000 0.5000
Tm3 0.6667 0.3333 0.8408
Zn1 0.6667 0.3333 0.3491
Zn2 0.3333 0.6667 0.6509
Pd1 0.0000 0.0000 0.0000

ΔE to the lowest computed polymorph	6.7	meV/atom

(10)
Entry from the Alexandria database: a relaxed structure of Tm3Zn4Pd4 (PBE).

Unit cell a=3.9618 b=7.4429 c=8.1810 alpha=117.06 beta=104.01 gamma=90.00
Sites, in units of the cell vectors:
Pd1 0.2181 0.7181 0.4362
Pd2 0.5000 0.8073 0.0000
Pd3 0.7819 0.2819 0.5638
Pd4 0.5000 0.1927 0.0000
Tm1 0.0000 0.5000 0.0000
Tm2 0.1251 0.1251 0.2501
Tm3 0.8749 0.8749 0.7499
Zn1 0.3266 0.1268 0.6531
Zn2 0.6734 0.4736 0.3469
Zn3 0.6734 0.8732 0.3469
Zn4 0.3266 0.5264 0.6531

(11)
Entry from the Alexandria database: a relaxed structure of Tm4Zn2Pd (PBE).

Unit cell a=6.0046 b=6.0046 c=6.0046 alpha=109.84 beta=109.29 gamma=109.29
Sites, in units of the cell vectors:
Pd1 0.0000 0.0000 0.0000
Zn1 0.5000 0.0000 0.5000
Zn2 0.5000 0.5000 0.0000
Tm1 0.5000 0.5000 0.5000
Tm2 0.0000 0.5000 0.0000
Tm3 0.5000 0.0000 0.0000
Tm4 0.0000 0.0000 0.5000

(12)
Entry from the Alexandria database: a relaxed structure of Tm2Zn3Pd (PBE).

Unit cell a=3.4806 b=4.4214 c=7.6624 alpha=90.00 beta=90.00 gamma=90.00
Sites, in units of the cell vectors:
Pd1 0.5000 0.5000 0.3359
Zn1 0.5000 0.0000 0.1574
Zn2 0.5000 0.5000 0.6758
Zn3 0.5000 0.0000 0.8292
Tm1 0.0000 0.0000 0.4841
Tm2 0.0000 0.5000 0.0176

(13)
Entry from the Alexandria database: a relaxed structure of Tm4ZnPd2 (PBE).

Unit cell a=4.8751 b=4.8751 c=6.9422 alpha=90.00 beta=90.00 gamma=90.00
Sites, in units of the cell vectors:
Tm1 0.0000 0.5000 0.2527
Tm2 0.5000 0.0000 0.7473
Tm3 0.0000 0.5000 0.7473
Tm4 0.5000 0.0000 0.2527
Pd1 0.0000 0.0000 0.0000
Pd2 0.5000 0.5000 0.5000
Zn1 0.5000 0.5000 0.0000

ΔE to the lowest computed polymorph	0.0	meV/atom

(14)
Entry from the Alexandria database: a relaxed structure of Tm4ZnPd5 (PBE).

Unit cell a=3.4232 b=3.4232 c=16.6190 alpha=90.00 beta=90.00 gamma=90.00
Sites, in units of the cell vectors:
Tm1 0.0000 0.0000 0.6060
Tm2 0.0000 0.0000 0.1819
Tm3 0.0000 0.0000 0.8181
Tm4 0.0000 0.0000 0.3940
Pd1 0.5000 0.5000 0.5000
Pd2 0.5000 0.5000 0.7132
Pd3 0.5000 0.5000 0.9164
Pd4 0.5000 0.5000 0.0836
Pd5 0.5000 0.5000 0.2868
Zn1 0.0000 0.0000 0.0000

(15)
Entry from the Alexandria database: a relaxed structure of TmZnPd (PBE).

Unit cell a=3.4414 b=4.4349 c=4.4349 alpha=120.00 beta=90.00 gamma=90.00
Sites, in units of the cell vectors:
Zn1 0.1664 0.0000 0.0000
Pd1 0.1670 0.3333 0.6667
Tm1 0.6666 0.6667 0.3333

ΔE to the lowest computed polymorph	83.9	meV/atom

(16)
Entry from the Alexandria database: a relaxed structure of TmZn3Pd (PBE).

Unit cell a=4.5946 b=4.5946 c=11.4140 alpha=101.61 beta=101.61 gamma=90.00
Sites, in units of the cell vectors:
Zn1 0.1258 0.3747 0.2516
Zn2 0.6555 0.6555 0.3110
Zn3 0.1258 0.8769 0.2516
Zn4 0.1231 0.8742 0.7484
Zn5 0.6253 0.8742 0.7484
Zn6 0.3445 0.3445 0.6890
Pd1 0.9118 0.4118 0.8235
Pd2 0.5882 0.0882 0.1765
Tm1 0.2500 0.7500 0.5000
Tm2 0.0000 0.0000 0.0000

(17)
Entry from the Alexandria database: a relaxed structure of TmZn6Pd6 (PBE).

Unit cell a=5.1967 b=6.7563 c=6.7563 alpha=81.30 beta=67.38 gamma=67.38
Sites, in units of the cell vectors:
Pd1 0.3220 0.1780 0.1780
Pd2 0.6619 0.3381 0.3381
Pd3 0.0000 0.3429 0.6571
Pd4 0.3381 0.6619 0.6619
Pd5 0.6780 0.8220 0.8220
Pd6 0.0000 0.6571 0.3429
Zn1 0.0000 0.0000 0.5000
Zn2 0.5000 0.0000 0.5000
Zn3 0.5000 0.5000 0.0000
Zn4 0.5000 0.2427 0.7573
Zn5 0.0000 0.5000 0.0000
Zn6 0.5000 0.7573 0.2427
Tm1 0.0000 0.0000 0.0000

(18)
Entry from the Alexandria database: a relaxed structure of TmZn3Pd2 (PBE).

Unit cell a=4.0812 b=7.1701 c=8.7097 alpha=121.37 beta=90.00 gamma=106.53
Sites, in units of the cell vectors:
Pd1 0.2074 0.4147 0.7473
Pd2 0.5705 0.1409 0.2003
Pd3 0.7926 0.5853 0.2527
Pd4 0.4295 0.8591 0.7997
Tm1 0.1293 0.2586 0.0085
Tm2 0.8707 0.7414 0.9915
Zn1 0.7281 0.4561 0.5699
Zn2 0.2719 0.5439 0.4301
Zn3 0.0591 0.1181 0.3958
Zn4 0.9409 0.8819 0.6042
Zn5 0.4163 0.8326 0.2900
Zn6 0.5837 0.1674 0.7100

(19)
Entry from the Alexandria database: a relaxed structure of Tm6Zn2Pd (PBE).

Unit cell a=4.8809 b=6.8768 c=8.3807 alpha=114.22 beta=106.87 gamma=90.00
Sites, in units of the cell vectors:
Tm1 0.8367 0.5878 0.6732
Tm2 0.5000 0.2470 0.0000
Tm3 0.1633 0.4122 0.3268
Tm4 0.5000 0.7530 0.0000
Tm5 0.8367 0.0854 0.6732
Tm6 0.1633 0.9146 0.3268
Pd1 0.0000 0.0000 0.0000
Zn1 0.3326 0.3327 0.6654
Zn2 0.6674 0.6673 0.3346

ΔE to the lowest computed polymorph	157.4	meV/atom

(20)
Entry from the Alexandria database: a relaxed structure of Tm2ZnPd9 (PBE).

Unit cell a=4.0574 b=4.0574 c=11.9863 alpha=90.00 beta=90.00 gamma=90.00
Sites, in units of the cell vectors:
Pd1 0.5000 0.5000 0.6710
Pd2 0.5000 0.0000 0.8445
Pd3 0.0000 0.5000 0.8445
Pd4 0.0000 0.5000 0.1555
Pd5 0.5000 0.0000 0.1555
Pd6 0.5000 0.0000 0.5000
Pd7 0.5000 0.5000 0.0000
Pd8 0.0000 0.5000 0.5000
Pd9 0.5000 0.5000 0.3290
Zn1 0.0000 0.0000 0.0000
Tm1 0.0000 0.0000 0.3262
Tm2 0.0000 0.0000 0.6738

Values for ΔH_f (0 K), eV per atom, ordered as above
-0.380; -0.885; -0.350; -0.792; -0.852; -0.505; -0.862; -0.362; -0.556; -0.695; -0.387; -0.536; -0.583; -0.857; -0.684; -0.003; -0.552; -0.540; -0.168; -0.700